[1]
Material: Ca4PPb
Method: DFT, PBE
State: optimized geometry

Results
ρ, g/cm³: 3.5
Total energy, eV/atom: -3.53
Symmetry: P4/mmm
Calculated formation energy, eV/atom: -0.67

Cell: 5.1025 5.1025 7.2737 Å, 90.00 90.00 90.00°
Closest atoms and distances in Å follow each position.
Sites, in units of the cell vectors:
Ca (0.5000, 0.0000, 0.7337)  2 P 3.07, 2 Pb 3.20, 1 Ca 3.40
Ca (0.0000, 0.5000, 0.7337)  2 P 3.07, 2 Pb 3.20, 1 Ca 3.40
Ca (0.5000, 0.0000, 0.2663)  2 P 3.07, 2 Pb 3.20, 1 Ca 3.40
Ca (0.0000, 0.5000, 0.2663)  2 P 3.07, 2 Pb 3.20, 1 Ca 3.40
P (0.5000, 0.5000, 0.5000)  8 Ca 3.07
Pb (0.0000, 0.0000, 0.0000)  8 Ca 3.20

---

[2]
Material: CaPPb
Method: DFT, PBE
State: optimized geometry

Results
ρ, g/cm³: 5.7
Total energy, eV/atom: -4.26
Symmetry: Pnma
Calculated formation energy, eV/atom: -0.55

Cell: 4.2069 8.7761 8.7239 Å, 90.00 90.00 90.00°
Closest atoms and distances in Å follow each position.
Sites, in units of the cell vectors:
Pb (0.2500, 0.9908, 0.3241)  2 P 2.81
Pb (0.7500, 0.5092, 0.8241)  2 P 2.81
Pb (0.7500, 0.0092, 0.6759)  2 P 2.81
Pb (0.2500, 0.4908, 0.1759)  2 P 2.81
P (0.2500, 0.3563, 0.6769)  2 Pb 2.81, 4 Ca 2.89-3.00
P (0.7500, 0.1437, 0.1769)  2 Pb 2.81, 4 Ca 2.89-3.00
P (0.7500, 0.6437, 0.3231)  2 Pb 2.81, 4 Ca 2.89-3.00
P (0.2500, 0.8563, 0.8231)  2 Pb 2.81, 4 Ca 2.89-3.00
Ca (0.2500, 0.1733, 0.9523)  4 P 2.89-3.00
Ca (0.7500, 0.3267, 0.4523)  4 P 2.89-3.00
Ca (0.7500, 0.8267, 0.0477)  4 P 2.89-3.00
Ca (0.2500, 0.6733, 0.5477)  4 P 2.89-3.00

---

[3]
Material: CaPPb
Method: DFT, PBE
State: optimized geometry

Results
ρ, g/cm³: 5.3
Total energy, eV/atom: -4.23
Symmetry: Pmma
Calculated formation energy, eV/atom: -0.52

Cell: 7.7233 3.8753 11.6147 Å, 90.00 90.00 90.00°
Closest atoms and distances in Å follow each position.
Sites, in units of the cell vectors:
Pb (0.7500, 0.0005, 0.9994)  2 P 2.76
Pb (0.2500, 0.9995, 0.0006)  2 P 2.76
Pb (0.7500, 0.9995, 0.4994)  2 P 2.76
Pb (0.2500, 0.0005, 0.5006)  2 P 2.76
P (0.7500, 0.4996, 0.3307)  2 Pb 2.76, 4 Ca 2.89
P (0.2500, 0.5004, 0.6693)  2 Pb 2.76, 4 Ca 2.89
P (0.7500, 0.5004, 0.8307)  2 Pb 2.76, 4 Ca 2.89
P (0.2500, 0.4996, 0.1693)  2 Pb 2.76, 4 Ca 2.89
Ca (0.0000, 0.0004, 0.7500)  4 P 2.89
Ca (0.5000, 0.9996, 0.2500)  4 P 2.89
Ca (0.0000, 0.9996, 0.2500)  4 P 2.89
Ca (0.5000, 0.0004, 0.7500)  4 P 2.89

---

[4]
Material: CaPPb
Method: DFT, PBE
State: optimized geometry

Results
ρ, g/cm³: 4.8
Total energy, eV/atom: -4.12
Symmetry: I4mm
Calculated formation energy, eV/atom: -0.41

Cell: 6.6420 6.6420 6.6420 Å, 144.81 144.79 50.63°
Closest atoms and distances in Å follow each position.
Sites, in units of the cell vectors:
Ca (0.0761, 0.0761, 0.0000)  4 P 2.84
P (0.5678, 0.5678, 0.0000)  1 Pb 2.54, 4 Ca 2.84
Pb (0.3561, 0.3561, 0.0000)  1 P 2.54

---

[5]
Material: CaPPd2Pb
Method: DFT, PBE
State: optimized geometry

Results
ρ, g/cm³: 5.5
Total energy, eV/atom: -3.62
Symmetry: P4/mmm
Calculated formation energy, eV/atom: 0.68

Cell: 4.9985 5.9417 4.9985 Å, 90.00 90.00 90.00°
Closest atoms and distances in Å follow each position.
Sites, in units of the cell vectors:
Pb (0.0000, 0.0000, 0.0000)  4 Pd 2.50
P (0.5000, 0.5000, 0.5000)  4 Ca 3.53, 8 Pd 3.88
Ca (0.0000, 0.5000, 0.0000)  2 Pb 2.97
Pd (0.0000, 0.0000, 0.5000)  2 Pb 2.50
Pd (0.5000, 0.0000, 0.0000)  2 Pb 2.50

---

[6]
Material: CaP2Pd7Pb2
Method: DFT, PBE
State: optimized geometry

Results
ρ, g/cm³: 8.9
Total energy, eV/atom: -5.18
Symmetry: C2/m
Calculated formation energy, eV/atom: -0.46

Cell: 4.5757 4.5757 11.4404 Å, 86.16 86.16 99.36°
Closest atoms and distances in Å follow each position.
Sites, in units of the cell vectors:
Ca (0.0000, 0.0000, 0.0000)  6 Pd 2.96-3.29, 2 P 3.05
P (0.6780, 0.6780, 0.8081)  6 Pd 2.31-2.39
P (0.3220, 0.3220, 0.1919)  6 Pd 2.31-2.39
Pd (0.5000, 0.5000, 0.0000)  2 P 2.33
Pd (0.3588, 0.3588, 0.3947)  1 P 2.35
Pd (0.6412, 0.6412, 0.6053)  1 P 2.35
Pd (0.8473, 0.4328, 0.2063)  2 P 2.31-2.39
Pd (0.4328, 0.8473, 0.2063)  2 P 2.31-2.39
Pd (0.5672, 0.1527, 0.7937)  2 P 2.31-2.39
Pd (0.1527, 0.5672, 0.7937)  2 P 2.31-2.39
Pb (0.8666, 0.8666, 0.3776)  5 Pd 2.80-2.99
Pb (0.1334, 0.1334, 0.6224)  5 Pd 2.80-2.99